A relaxed PaCuSb2 crystal, computed with PBE.

a = 5.4616 Å, b = 5.4616 Å, c = 3.2158 Å
α = 90.12°, β = 90.12°, γ = 82.55°
Last column: nearest neighbours and their distance in Å.
Positions (direct):
Pa 0.0000 0.0000 0.0000  8 Sb 3.18-3.25, 2 Cu 3.22, 2 Pa 3.22
Cu 0.3864 0.6136 0.5000  4 Sb 2.75-2.81
Sb 0.4808 0.0954 0.5007  2 Cu 2.75-2.81
Sb 0.9046 0.5192 0.4993  2 Cu 2.75-2.81

Uncorrected formation energy ... -118.8 meV per atom
Space-group type ... No. 5

***

A relaxed CaPr2In crystal, computed with PBE.

a = 12.4889 Å, b = 12.4889 Å, c = 12.4889 Å
α = 16.93°, β = 16.93°, γ = 16.93°
Last column: nearest neighbours and their distance in Å.
Positions (direct):
Ca 0.0000 0.0000 0.0000  2 Pr 3.61, 6 Ca 3.68
Pr 0.0976 0.0976 0.0976  3 In 3.32, 1 Ca 3.61, 6 Pr 3.68
Pr 0.9024 0.9024 0.9024  3 In 3.32, 1 Ca 3.61, 6 Pr 3.68
In 0.5000 0.5000 0.5000  6 Pr 3.32, 6 In 3.68

Energy of formation ... 0.004 eV/atom
Energy above the lowest structure with this stoichiometry ... 94 kJ/mol of formula units
Space-group type ... No. 166

***

A relaxed Nd2MnPd crystal, computed with PBE.

a = 3.6851 Å, b = 3.6851 Å, c = 7.1072 Å
α = 90.00°, β = 90.00°, γ = 90.00°
Last column: nearest neighbours and their distance in Å.
Positions (direct):
Nd 0.0000 0.0000 0.2467  4 Pd 3.14, 4 Mn 3.17, 1 Nd 3.51
Nd 0.0000 0.0000 0.7533  4 Pd 3.14, 4 Mn 3.17, 1 Nd 3.51
Mn 0.5000 0.5000 0.5000  8 Nd 3.17
Pd 0.5000 0.5000 0.0000  8 Nd 3.14

Energy of formation ... -0.216 eV/atom
Space-group type ... No. 123

***

A relaxed LaPuU2As4 crystal, computed with PBE.

a = 7.2218 Å, b = 7.2218 Å, c = 7.2218 Å
α = 131.83°, β = 131.83°, γ = 70.50°
Last column: nearest neighbours and their distance in Å.
Positions (direct):
La 0.0000 0.0000 0.0000  6 As 2.95-3.05
Pu 0.2500 0.7500 0.5000  6 As 2.95-2.99
U 0.5000 0.5000 0.0000  6 As 2.85-2.95
U 0.7500 0.2500 0.5000  6 As 2.91-2.95
As 0.2583 0.2583 0.0000  3 U 2.85-2.95, 2 Pu 2.95, 1 La 3.05
As 0.5036 0.0036 0.5000  3 U 2.91-2.95, 2 La 2.95, 1 Pu 2.99
As 0.7417 0.7417 0.0000  3 U 2.85-2.95, 2 Pu 2.95, 1 La 3.05
As 0.9964 0.4964 0.5000  3 U 2.91-2.95, 2 La 2.95, 1 Pu 2.99

Energy of formation ... -0.965 eV/atom
Space-group type ... No. 119

***

A relaxed Al2AgMo crystal, computed with PBE.

a = 2.8214 Å, b = 2.8214 Å, c = 8.0696 Å
α = 90.00°, β = 90.00°, γ = 90.00°
Last column: nearest neighbours and their distance in Å.
Positions (direct):
Al 0.0000 0.0000 0.2382  4 Mo 2.77, 4 Al 2.82, 4 Ag 2.91
Al 0.0000 0.0000 0.7618  4 Mo 2.77, 4 Al 2.82, 4 Ag 2.91
Ag 0.5000 0.5000 0.5000  4 Ag 2.82, 8 Al 2.91
Mo 0.5000 0.5000 0.0000  8 Al 2.77, 4 Mo 2.82

Energy of formation ... -0.043 eV/atom
Energy above the lowest structure with this stoichiometry ... 25 kJ/mol of formula units
Space-group type ... No. 123

***

A relaxed LaTb2Hg crystal, computed with PBE.

a = 4.9002 Å, b = 4.9002 Å, c = 4.8939 Å
α = 90.00°, β = 90.00°, γ = 90.00°
Last column: nearest neighbours and their distance in Å.
Positions (direct):
La 0.0000 0.0000 0.0000  8 Tb 3.46, 4 Hg 3.46
Tb 0.0000 0.5000 0.5000  4 Hg 3.46, 4 La 3.46, 4 Tb 3.46
Tb 0.5000 0.0000 0.5000  4 Hg 3.46, 4 La 3.46, 4 Tb 3.46
Hg 0.5000 0.5000 0.0000  8 Tb 3.46, 4 La 3.46

Energy of formation ... -0.156 eV/atom
Energy above the lowest structure with this stoichiometry ... 28 kJ/mol of formula units
Space-group type ... No. 123

***

A relaxed CdRePt2 crystal, computed with PBE.

a = 4.5231 Å, b = 4.5231 Å, c = 4.5231 Å
α = 60.00°, β = 60.00°, γ = 60.00°
Last column: nearest neighbours and their distance in Å.
Positions (direct):
Cd 0.0000 0.0000 0.0000  4 Re 2.77, 4 Pt 2.77
Re 0.7500 0.7500 0.7500  4 Pt 2.77, 4 Cd 2.77
Pt 0.2500 0.2500 0.2500  4 Pt 2.77, 4 Cd 2.77
Pt 0.5000 0.5000 0.5000  4 Re 2.77, 4 Pt 2.77

Energy of formation ... 0.378 eV/atom
Space-group type ... No. 216

***

A relaxed Hg3SbPb12 crystal, computed with PBE.

a = 4.9323 Å, b = 4.9323 Å, c = 20.0491 Å
α = 90.00°, β = 90.00°, γ = 90.00°
Last column: nearest neighbours and their distance in Å.
Positions (direct):
Hg 0.0000 0.0000 0.0000  12 Pb 3.49-3.50
Hg 0.0000 0.0000 0.2461  12 Pb 3.48-3.51
Hg 0.0000 0.0000 0.7539  12 Pb 3.48-3.51
Sb 0.0000 0.0000 0.5000  12 Pb 3.49-3.58
Pb 0.0000 0.5000 0.1236  4 Hg 3.48-3.50, 8 Pb 3.49-3.51
Pb 0.0000 0.5000 0.3704  8 Pb 3.47-3.58, 2 Hg 3.51, 2 Sb 3.58
Pb 0.0000 0.5000 0.6296  8 Pb 3.47-3.58, 2 Hg 3.51, 2 Sb 3.58
Pb 0.0000 0.5000 0.8764  4 Hg 3.48-3.50, 8 Pb 3.49-3.51
Pb 0.5000 0.0000 0.1236  4 Hg 3.48-3.50, 8 Pb 3.49-3.51
Pb 0.5000 0.0000 0.3704  8 Pb 3.47-3.58, 2 Hg 3.51, 2 Sb 3.58
Pb 0.5000 0.0000 0.6296  8 Pb 3.47-3.58, 2 Hg 3.51, 2 Sb 3.58
Pb 0.5000 0.0000 0.8764  4 Hg 3.48-3.50, 8 Pb 3.49-3.51
Pb 0.5000 0.5000 0.0000  4 Hg 3.49, 8 Pb 3.50
Pb 0.5000 0.5000 0.2485  8 Pb 3.47-3.51, 4 Hg 3.49
Pb 0.5000 0.5000 0.5000  4 Sb 3.49, 8 Pb 3.58
Pb 0.5000 0.5000 0.7515  8 Pb 3.47-3.51, 4 Hg 3.49

Uncorrected formation energy ... 22.1 meV per atom
Space-group type ... No. 123

***

Number 1: total magnetic moment 0.271 μB/f.u.. Number 2: total magnetic moment 0.000 μB/f.u.. Number 3: total magnetic moment 3.026 μB/f.u.. Number 4: total magnetic moment 5.524 μB/f.u.. Number 5: total magnetic moment 0.022 μB/f.u.. Number 6: total magnetic moment 0.023 μB/f.u.. Number 7: total magnetic moment 0.447 μB/f.u.. Number 8: total magnetic moment 0.000 μB/f.u..